Below is crystalline SbMo2Au at its relaxed geometry, with properties calculated at the GGA-PBE level.

abc: 9.1450 9.1450 9.1450
angles: 19.10 19.10 19.10
Last column: nearest neighbours and their distance in Å.
Fractional coordinates of all 4 atoms:
Mo 0.5010 0.5010 0.5010  3 Sb 2.82, 3 Au 2.87, 6 Mo 3.03
Au 0.7500 0.7500 0.7500  6 Mo 2.87, 6 Au 3.03
Mo 0.9990 0.9990 0.9990  3 Sb 2.82, 3 Au 2.87, 6 Mo 3.03
Sb 0.2500 0.2500 0.2500  6 Mo 2.82, 6 Sb 3.03

calculated volume: 71.6 Å³/cell



Below is crystalline SbMoAu2 at its relaxed geometry, with properties calculated at the GGA-PBE level.

abc: 4.8233 2.9118 5.5820
angles: 75.89 90.00 90.00
Last column: nearest neighbours and their distance in Å.
Fractional coordinates of all 4 atoms:
Au 0.0000 0.6544 0.4956  3 Au 2.66-2.91, 2 Sb 2.85
Mo 0.5000 0.2500 0.2500  2 Sb 2.82, 2 Mo 2.91, 8 Au 3.09-3.14
Sb 0.5000 0.7500 0.7500  2 Mo 2.82, 4 Au 2.85, 2 Sb 2.91
Au 0.0000 0.8456 0.0044  3 Au 2.66-2.91, 2 Sb 2.85

calculated volume: 76.0 Å³/cell



Below is crystalline SbMoAu2 at its relaxed geometry, with properties calculated at the GGA-PBE level.

abc: 2.9511 2.9511 8.9791
angles: 90.00 90.00 90.00
Last column: nearest neighbours and their distance in Å.
Fractional coordinates of all 4 atoms:
Sb 0.5000 0.5000 0.7500  4 Sb 2.95, 8 Au 3.28
Au 0.0000 0.0000 0.4675  4 Mo 2.86, 4 Au 2.95
Au 0.0000 0.0000 0.0325  4 Mo 2.86, 4 Au 2.95
Mo 0.5000 0.5000 0.2500  8 Au 2.86, 4 Mo 2.95

calculated volume: 78.2 Å³/cell



Below is crystalline Sb2MoAu at its relaxed geometry, with properties calculated at the GGA-PBE level.

abc: 4.8626 4.8626 5.5130
angles: 81.21 81.21 40.61
Last column: nearest neighbours and their distance in Å.
Fractional coordinates of all 4 atoms:
Sb 0.9792 0.9792 0.0274  1 Au 2.78, 3 Mo 2.81-2.93, 2 Sb 3.05
Mo 0.2500 0.2500 0.2500  6 Sb 2.81-2.93
Sb 0.5208 0.5208 0.4726  1 Au 2.78, 3 Mo 2.81-2.93, 2 Sb 3.05
Au 0.7500 0.7500 0.7500  2 Sb 2.78

calculated volume: 83.7 Å³/cell



Below is crystalline Sb2MoAu at its relaxed geometry, with properties calculated at the GGA-PBE level.

abc: 6.2575 6.2575 7.5249
angles: 65.43 65.43 90.00
Last column: nearest neighbours and their distance in Å.
Fractional coordinates of all 8 atoms:
Sb 0.6109 0.1250 0.2500  2 Mo 2.63, 2 Au 2.74
Sb 0.1391 0.6250 0.2500  2 Mo 2.63, 2 Au 2.74
Au 0.0000 0.0000 0.0000  4 Sb 2.74
Sb 0.3750 0.3891 0.7500  2 Mo 2.63, 2 Au 2.74
Mo 0.5000 0.5000 0.0000  4 Sb 2.63
Sb 0.8750 0.8609 0.7500  2 Mo 2.63, 2 Au 2.74
Mo 0.2500 0.7500 0.5000  4 Sb 2.63
Au 0.7500 0.2500 0.5000  4 Sb 2.74

calculated volume: 238.3 Å³/cell



Below is crystalline SbMo2Au at its relaxed geometry, with properties calculated at the GGA-PBE level.

abc: 3.2181 3.2181 6.7557
angles: 90.00 90.00 90.00
Last column: nearest neighbours and their distance in Å.
Fractional coordinates of all 4 atoms:
Mo 0.0000 0.0000 0.0076  4 Sb 2.80, 4 Au 2.86
Sb 0.5000 0.5000 0.2500  8 Mo 2.80
Mo 0.0000 0.0000 0.4924  4 Sb 2.80, 4 Au 2.86
Au 0.5000 0.5000 0.7500  8 Mo 2.86

calculated volume: 70.0 Å³/cell



Below is crystalline Sb2MoAu at its relaxed geometry, with properties calculated at the GGA-PBE level.

abc: 8.6190 8.6190 8.6190
angles: 22.81 22.81 22.81
Last column: nearest neighbours and their distance in Å.
Fractional coordinates of all 4 atoms:
Sb 0.4947 0.4947 0.4947  3 Mo 2.78, 3 Au 2.97
Mo 0.7500 0.7500 0.7500  6 Sb 2.78
Au 0.2500 0.2500 0.2500  6 Sb 2.97
Sb 0.0053 0.0053 0.0053  3 Mo 2.78, 3 Au 2.97

calculated volume: 84.5 Å³/cell



Below is crystalline SbMo2Au at its relaxed geometry, with properties calculated at the GGA-PBE level.

abc: 5.3508 5.3508 5.3508
angles: 143.13 128.37 65.12
Last column: nearest neighbours and their distance in Å.
Fractional coordinates of all 4 atoms:
Sb 0.4941 0.4941 0.0000  6 Mo 2.83-2.89, 2 Au 2.84
Mo 0.2429 0.7429 0.5000  2 Mo 2.65, 2 Sb 2.83, 4 Au 2.88
Au 0.7469 0.2469 0.5000  2 Sb 2.84, 8 Mo 2.88-3.12
Mo 0.0161 0.0161 0.0000  2 Mo 2.65, 4 Sb 2.89, 2 Au 2.96

calculated volume: 71.1 Å³/cell



Below is crystalline SbMoAu at its relaxed geometry, with properties calculated at the GGA-PBE level.

abc: 4.5434 4.5434 4.5434
angles: 60.00 60.00 60.00
Last column: nearest neighbours and their distance in Å.
Fractional coordinates of all 3 atoms:
Au 0.5000 0.5000 0.5000  4 Mo 2.78
Mo 0.2500 0.2500 0.2500  4 Au 2.78, 4 Sb 2.78
Sb 0.0000 0.0000 0.0000  4 Mo 2.78

excess energy over the best structure of this formula in the dataset: 0.030 eV per atom
calculated volume: 66.3 Å³/cell



Below is crystalline SbMoAu2 at its relaxed geometry, with properties calculated at the GGA-PBE level.

abc: 5.0073 5.0073 5.0073
angles: 128.57 128.57 75.70
Last column: nearest neighbours and their distance in Å.
Fractional coordinates of all 4 atoms:
Au 0.2500 0.7500 0.5000  4 Mo 2.94, 4 Au 2.94, 4 Sb 3.07
Au 0.0000 0.0000 0.0000  4 Sb 2.94, 4 Au 2.94, 4 Mo 3.07
Sb 0.7500 0.2500 0.5000  4 Mo 2.94, 8 Au 2.94-3.07
Mo 0.5000 0.5000 0.0000  8 Au 2.94-3.07, 4 Sb 2.94

calculated volume: 74.6 Å³/cell



Below is crystalline Sb2MoAu at its relaxed geometry, with properties calculated at the GGA-PBE level.

abc: 5.2172 5.2172 5.2172
angles: 134.43 124.39 74.64
Last column: nearest neighbours and their distance in Å.
Fractional coordinates of all 4 atoms:
Mo 0.2500 0.7500 0.5000  8 Sb 2.97-3.13, 4 Au 3.16
Au 0.7500 0.2500 0.5000  4 Sb 2.83, 4 Mo 3.16
Sb 0.9881 0.9881 0.0000  2 Au 2.83, 4 Mo 2.97-3.13
Sb 0.5119 0.5119 0.0000  2 Au 2.83, 4 Mo 2.97-3.13

calculated volume: 81.6 Å³/cell



Below is crystalline Sb2MoAu at its relaxed geometry, with properties calculated at the GGA-PBE level.

abc: 3.5269 3.5269 6.5421
angles: 90.00 90.00 90.00
Last column: nearest neighbours and their distance in Å.
Fractional coordinates of all 4 atoms:
Sb 0.0000 0.0000 0.5175  4 Mo 2.92, 1 Sb 3.04, 4 Au 3.05
Mo 0.5000 0.5000 0.7500  8 Sb 2.92, 2 Au 3.27
Sb 0.0000 0.0000 0.9825  4 Mo 2.92, 1 Sb 3.04, 4 Au 3.05
Au 0.5000 0.5000 0.2500  8 Sb 3.05, 2 Mo 3.27

calculated volume: 81.4 Å³/cell



Below is crystalline Sb2MoAu at its relaxed geometry, with properties calculated at the GGA-PBE level.

abc: 3.7319 3.9336 5.7078
angles: 90.00 90.00 90.00
Last column: nearest neighbours and their distance in Å.
Fractional coordinates of all 4 atoms:
Sb 0.5000 0.5000 0.3056  2 Mo 2.76-2.95, 4 Au 2.85
Au 0.0000 0.0000 0.4617  6 Sb 2.75-2.96
Mo 0.5000 0.5000 0.7890  6 Sb 2.76-2.95
Sb 0.0000 0.0000 0.9437  2 Au 2.75-2.96, 4 Mo 2.85

calculated volume: 83.8 Å³/cell



Below is crystalline Sb2Mo2Au at its relaxed geometry, with properties calculated at the GGA-PBE level.

abc: 7.3972 7.3972 3.5464
angles: 90.00 90.00 90.00
Last column: nearest neighbours and their distance in Å.
Fractional coordinates of all 10 atoms:
Sb 0.1583 0.6583 0.5000  6 Mo 2.78-2.82
Mo 0.1367 0.3633 0.0000  6 Sb 2.78-2.82, 1 Mo 2.86, 2 Au 2.87
Sb 0.3417 0.1583 0.5000  6 Mo 2.78-2.82
Au 0.0000 0.0000 0.0000  4 Mo 2.87
Sb 0.8417 0.3417 0.5000  6 Mo 2.78-2.82
Au 0.5000 0.5000 0.0000  4 Mo 2.87
Mo 0.6367 0.1367 0.0000  6 Sb 2.78-2.82, 1 Mo 2.86, 2 Au 2.87
Sb 0.6583 0.8417 0.5000  6 Mo 2.78-2.82
Mo 0.3633 0.8633 0.0000  6 Sb 2.78-2.82, 1 Mo 2.86, 2 Au 2.87
Mo 0.8633 0.6367 0.0000  6 Sb 2.78-2.82, 1 Mo 2.86, 2 Au 2.87

calculated volume: 194.1 Å³/cell



Below is crystalline SbMo2Au at its relaxed geometry, with properties calculated at the GGA-PBE level.

abc: 4.2027 3.0397 5.9941
angles: 72.82 90.00 90.00
Last column: nearest neighbours and their distance in Å.
Fractional coordinates of all 4 atoms:
Sb 0.5000 0.2500 0.2500  4 Mo 2.78, 2 Au 2.93, 2 Sb 3.04
Au 0.5000 0.7500 0.7500  8 Mo 2.88-2.90, 2 Sb 2.93, 2 Au 3.04
Mo 0.0000 0.1267 0.9716  1 Mo 2.54, 2 Sb 2.78
Mo 0.0000 0.3733 0.5284  1 Mo 2.54, 2 Sb 2.78

calculated volume: 73.2 Å³/cell



no.,formation energy (no corrections) (eV per atom)
1,0.489
2,0.377
3,0.272
4,0.318
5,0.545
6,0.377
7,0.153
8,0.331
9,0.399
10,0.369
11,0.394
12,0.172
13,0.251
14,0.174
15,0.401